# La2ScIn | Alexandria | PBE | relaxed
data_La2ScIn
_chemical_formula_sum 'La2 Sc1 In1'
_symmetry_space_group_name_H-M 'P 1'
_symmetry_Int_Tables_number 1
_symmetry_space_group_name_Hall 'P 1'
_cell_length_a 3.5166
_cell_length_b 4.6229
_cell_length_c 7.0855
_cell_angle_alpha 90.00
_cell_angle_beta 90.00
_cell_angle_gamma 90.00
loop_
_atom_site_label
_atom_site_type_symbol
_atom_site_fract_x
_atom_site_fract_y
_atom_site_fract_z
_atom_site_occupancy
La1 La 0.0000 0.0000 0.0000 1
La2 La 0.5000 0.5000 0.2538 1
Sc1 Sc 0.0000 0.0000 0.5309 1
In1 In 0.5000 0.5000 0.7342 1
# * energy: -19.7 eV for the cell shown
# * energy of formation from the pure elements: -0.18 eV per atom
# * calculated density: 6.31 Mg/m³

# La2ScIn | Alexandria | PBE | relaxed
data_La2ScIn
_chemical_formula_sum 'La2 Sc1 In1'
_symmetry_space_group_name_H-M 'P 1'
_symmetry_Int_Tables_number 1
_symmetry_space_group_name_Hall 'P 1'
_cell_length_a 4.8500
_cell_length_b 4.8500
_cell_length_c 5.0055
_cell_angle_alpha 90.00
_cell_angle_beta 90.00
_cell_angle_gamma 90.00
loop_
_atom_site_label
_atom_site_type_symbol
_atom_site_fract_x
_atom_site_fract_y
_atom_site_fract_z
_atom_site_occupancy
La1 La 0.0000 0.5000 0.0000 1
La2 La 0.5000 0.0000 0.0000 1
Sc1 Sc 0.0000 0.0000 0.5000 1
In1 In 0.5000 0.5000 0.5000 1
# * energy: -19.9 eV for the cell shown
# * energy of formation from the pure elements: -0.25 eV per atom
# * calculated density: 6.17 Mg/m³

# La2ScIn | Alexandria | PBE | relaxed
data_La2ScIn
_chemical_formula_sum 'La2 Sc1 In1'
_symmetry_space_group_name_H-M 'P 1'
_symmetry_Int_Tables_number 1
_symmetry_space_group_name_Hall 'P 1'
_cell_length_a 5.4679
_cell_length_b 5.4679
_cell_length_c 5.4679
_cell_angle_alpha 60.00
_cell_angle_beta 60.00
_cell_angle_gamma 60.00
loop_
_atom_site_label
_atom_site_type_symbol
_atom_site_fract_x
_atom_site_fract_y
_atom_site_fract_z
_atom_site_occupancy
La1 La 0.0000 0.0000 0.0000 1
La2 La 0.2500 0.2500 0.2500 1
Sc1 Sc 0.7500 0.7500 0.7500 1
In1 In 0.5000 0.5000 0.5000 1
# * energy: -19.4 eV for the cell shown
# * energy of formation from the pure elements: -0.11 eV per atom
# * calculated density: 6.29 Mg/m³